[1]
Material: SmSb
Method: DFT, PBE
State: optimized geometry

abc: 4.9996 4.9996 4.9996
angles: 60.00 60.00 60.00
Fractional coordinates of all 2 atoms:
1 Sm 0.2500 0.2500 0.2500
2 Sb 0.0000 0.0000 0.0000

Output
Symmetry: F-43m (216)
E (eV per atom): -5.038
ΔE to the lowest computed polymorph (eV/atom): 0.5598
Total magnetization (μB per atom): 0.000


[2]
Material: Cu3Ag
Method: DFT, PBE
State: optimized geometry

abc: 5.4146 5.4146 3.6569
angles: 90.00 90.00 90.76
Fractional coordinates of all 8 atoms:
1 Cu 0.1203 0.3635 0.7500
2 Cu 0.3635 0.1203 0.2500
3 Cu 0.1135 0.8865 0.7500
4 Cu 0.8797 0.6365 0.2500
5 Cu 0.8865 0.1135 0.2500
6 Cu 0.6365 0.8797 0.7500
7 Ag 0.6348 0.3652 0.7500
8 Ag 0.3652 0.6348 0.2500

Output
Symmetry: Cmcm (63)
E (eV per atom): -3.415
Formation enthalpy at 0 K (eV/atom): 0.0787


[3]
Material: MgCuSb
Method: DFT, PBE
State: optimized geometry

abc: 6.9368 6.9368 4.2431
angles: 90.00 90.00 120.00
Fractional coordinates of all 9 atoms:
1 Sb 0.3333 0.6667 0.0000
2 Sb 0.0000 0.0000 0.5000
3 Sb 0.6667 0.3333 0.0000
4 Mg 0.5771 0.0000 0.5000
5 Mg 0.4229 0.4229 0.5000
6 Mg 0.0000 0.5771 0.5000
7 Cu 0.0000 0.2449 0.0000
8 Cu 0.7551 0.7551 0.0000
9 Cu 0.2449 0.0000 0.0000

Output
Symmetry: P-62m (189)
E (eV per atom): -3.281


[4]
Material: ZnPtSeO
Method: DFT, PBE
State: optimized geometry

abc: 4.1497 4.1497 7.9701
angles: 90.00 90.00 90.00
Fractional coordinates of all 8 atoms:
1 O 0.7500 0.7500 0.9429
2 O 0.2500 0.2500 0.0571
3 Se 0.7500 0.2500 0.5000
4 Se 0.2500 0.7500 0.5000
5 Pt 0.2500 0.2500 0.3036
6 Pt 0.7500 0.7500 0.6964
7 Zn 0.7500 0.7500 0.1741
8 Zn 0.2500 0.2500 0.8259

Output
Symmetry: P4/nmm (129)
E (eV per atom): -3.890
ΔE to the lowest computed polymorph (eV/atom): 0.5558
Total magnetization (μB per atom): 0.004


[5]
Material: NbPOsO
Method: DFT, PBE
State: optimized geometry

abc: 4.0757 4.4071 5.8361
angles: 90.00 90.00 90.00
Fractional coordinates of all 8 atoms:
1 Os 0.0000 0.1341 0.9597
2 Os 0.0000 0.8659 0.4597
3 Nb 0.5000 0.3517 0.5779
4 Nb 0.5000 0.6483 0.0779
5 P 0.0000 0.6310 0.8080
6 P 0.0000 0.3690 0.3080
7 O 0.5000 0.9060 0.4084
8 O 0.5000 0.0940 0.9084

Output
Symmetry: Pmc2_1 (26)
E (eV per atom): -8.519
ΔE to the lowest computed polymorph (eV/atom): 0.2869
Total magnetization (μB per atom): 0.000


[6]
Material: ThSnOs
Method: DFT, PBE
State: optimized geometry

abc: 4.9180 4.9180 4.9180
angles: 60.00 60.00 60.00
Fractional coordinates of all 3 atoms:
1 Os 0.7500 0.7500 0.7500
2 Sn 0.2500 0.2500 0.2500
3 Th 0.0000 0.0000 0.0000

Output
Symmetry: F-43m (216)
E (eV per atom): -6.821
Total magnetization (μB per atom): 0.001


[7]
Material: BaGdCu
Method: DFT, PBE
State: optimized geometry

abc: 5.2259 5.2259 5.2259
angles: 60.00 60.00 60.00
Fractional coordinates of all 3 atoms:
1 Ba 0.2500 0.2500 0.2500
2 Cu 0.0000 0.0000 0.0000
3 Gd 0.7500 0.7500 0.7500

Output
Symmetry: F-43m (216)
E (eV per atom): -3.121
ΔE to the lowest computed polymorph (eV/atom): 0.0000
Total magnetization (μB per atom): 0.082


[8]
Material: NaLiNiMo
Method: DFT, PBE
State: optimized geometry

abc: 4.3564 4.3564 4.3564
angles: 60.00 60.00 60.00
Fractional coordinates of all 4 atoms:
1 Li 0.7500 0.7500 0.7500
2 Mo 0.5000 0.5000 0.5000
3 Na 0.0000 0.0000 0.0000
4 Ni 0.2500 0.2500 0.2500

Output
Symmetry: F-43m (216)
E (eV per atom): -4.162
ΔE to the lowest computed polymorph (eV/atom): 0.0056
Total magnetization (μB per atom): 0.001


[9]
Material: LaUPb
Method: DFT, PBE
State: optimized geometry

abc: 5.3778 5.3778 5.3778
angles: 60.00 60.00 60.00
Site moments in Bohr magnetons follow the coordinates.
Fractional coordinates of all 3 atoms:
1 La 0.2500 0.2500 0.2500  0.33
2 U 0.7500 0.7500 0.7500  3.06
3 Pb 0.0000 0.0000 0.0000  -0.06

Output
Symmetry: F-43m (216)
E (eV per atom): -6.159
ΔE to the lowest computed polymorph (eV/atom): 0.0000
Total magnetization (μB per atom): 1.432


[10]
Material: LiLuSbIr
Method: DFT, PBE
State: optimized geometry

abc: 4.7584 4.7584 4.7584
angles: 60.00 60.00 60.00
Fractional coordinates of all 4 atoms:
1 Li 0.7500 0.7500 0.7500
2 Ir 0.5000 0.5000 0.5000
3 Sb 0.0000 0.0000 0.0000
4 Lu 0.2500 0.2500 0.2500

Output
Symmetry: F-43m (216)
E (eV per atom): -5.299
ΔE to the lowest computed polymorph (eV/atom): 0.3134
Total magnetization (μB per atom): 0.001


[11]
Material: CdSbNO
Method: DFT, PBE
State: optimized geometry

abc: 4.8636 4.8636 4.7816
angles: 90.00 90.00 90.00
Fractional coordinates of all 8 atoms:
1 Sb 0.5000 0.5000 0.5000
2 Sb 0.0000 0.0000 0.5000
3 Cd 0.0000 0.5000 0.0008
4 Cd 0.5000 0.0000 0.9992
5 N 0.5000 0.0000 0.4982
6 N 0.0000 0.5000 0.5018
7 O 0.0000 0.0000 0.0000
8 O 0.5000 0.5000 0.0000

Output
Symmetry: P4/nmm (129)
E (eV per atom): -4.661
ΔE to the lowest computed polymorph (eV/atom): 0.1864


[12]
Material: RbNdAg3Te4
Method: DFT, PBE
State: optimized geometry

abc: 7.1270 7.1270 7.1270
angles: 90.00 90.00 90.00
Fractional coordinates of all 9 atoms:
1 Te 0.2351 0.2351 0.7649
2 Te 0.7649 0.7649 0.7649
3 Te 0.2351 0.7649 0.2351
4 Te 0.7649 0.2351 0.2351
5 Ag 0.5000 0.0000 0.0000
6 Ag 0.0000 0.5000 0.0000
7 Ag 0.0000 0.0000 0.5000
8 Nd 0.0000 0.0000 0.0000
9 Rb 0.5000 0.5000 0.5000

Output
Symmetry: P-43m (215)
E (eV per atom): -3.425
Total magnetization (μB per atom): 0.001